Record 1
The following is a DFT calculation (GGA-PBE) of crystalline Pr2ErZrN4 at its relaxed geometry.

Cell: 6.031 3.480 6.122 Å, 90.00 109.01 90.00°
Fractional positions:
Pr (0.000, 0.000, 0.000)
Pr (0.500, 0.500, 0.000)
Er (0.000, 0.500, 0.500)
Zr (0.500, 0.000, 0.500)
N (0.252, 0.000, 0.723)
N (0.268, 0.500, 0.280)
N (0.732, 0.500, 0.720)
N (0.748, 0.000, 0.277)

Values from the calculation:
Formation energy without anion corrections, eV per atom: -1.515
ρ, Mg/m³: 8.15
Magnetization, Bohr magnetons per cell: 0.0
Final energy, eV per atom: -8.511
Fermi-level density of states, states/eV per atom: 0.140

=====

Record 2
The following is a DFT calculation (GGA-PBE) of crystalline PrEr2ZrN4 at its relaxed geometry.

Cell: 5.943 3.438 5.996 Å, 90.00 109.23 90.00°
Fractional positions:
Pr (0.000, 0.000, 0.000)
Er (0.500, 0.000, 0.500)
Er (0.500, 0.500, 0.000)
Zr (0.000, 0.500, 0.500)
N (0.245, 0.000, 0.733)
N (0.254, 0.500, 0.271)
N (0.746, 0.500, 0.729)
N (0.755, 0.000, 0.267)

Values from the calculation:
Formation energy without anion corrections, eV per atom: -1.598
ρ, Mg/m³: 8.94
Magnetization, Bohr magnetons per cell: 0.0
Final energy, eV per atom: -8.567
Fermi-level density of states, states/eV per atom: 0.150

=====

Record 3
The following is a DFT calculation (GGA-PBE) of crystalline Er12Pt3N5 at its relaxed geometry.

Cell: 13.070 13.070 13.070 Å, 109.47 109.47 109.47°
Fractional positions:
Er (0.022, 0.205, 0.119)
Er (0.022, 0.317, 0.903)
Er (0.086, 0.705, 0.683)
Er (0.086, 0.881, 0.403)
Er (0.097, 0.619, 0.414)
Er (0.097, 0.978, 0.683)
Er (0.119, 0.022, 0.205)
Er (0.119, 0.597, 0.914)
Er (0.183, 0.205, 0.586)
Er (0.183, 0.478, 0.597)
Er (0.205, 0.119, 0.022)
Er (0.205, 0.586, 0.183)
Er (0.295, 0.317, 0.914)
Er (0.295, 0.478, 0.381)
Er (0.317, 0.903, 0.022)
Er (0.317, 0.914, 0.295)
Er (0.381, 0.295, 0.478)
Er (0.381, 0.586, 0.903)
Er (0.403, 0.086, 0.881)
Er (0.403, 0.817, 0.522)
Er (0.414, 0.097, 0.619)
Er (0.414, 0.817, 0.795)
Er (0.478, 0.381, 0.295)
Er (0.478, 0.597, 0.183)
Er (0.522, 0.403, 0.817)
Er (0.522, 0.619, 0.705)
Er (0.586, 0.183, 0.205)
Er (0.586, 0.903, 0.381)
Er (0.597, 0.183, 0.478)
Er (0.597, 0.914, 0.119)
Er (0.619, 0.414, 0.097)
Er (0.619, 0.705, 0.522)
Er (0.683, 0.086, 0.705)
Er (0.683, 0.097, 0.978)
Er (0.705, 0.522, 0.619)
Er (0.705, 0.683, 0.086)
Er (0.795, 0.414, 0.817)
Er (0.795, 0.881, 0.978)
Er (0.817, 0.522, 0.403)
Er (0.817, 0.795, 0.414)
Er (0.881, 0.403, 0.086)
Er (0.881, 0.978, 0.795)
Er (0.903, 0.022, 0.317)
Er (0.903, 0.381, 0.586)
Er (0.914, 0.119, 0.597)
Er (0.914, 0.295, 0.317)
Er (0.978, 0.683, 0.097)
Er (0.978, 0.795, 0.881)
Pt (0.125, 0.250, 0.375)
Pt (0.125, 0.375, 0.750)
Pt (0.250, 0.375, 0.125)
Pt (0.250, 0.875, 0.625)
Pt (0.375, 0.125, 0.250)
Pt (0.375, 0.750, 0.125)
Pt (0.625, 0.250, 0.875)
Pt (0.625, 0.875, 0.750)
Pt (0.750, 0.125, 0.375)
Pt (0.750, 0.625, 0.875)
Pt (0.875, 0.625, 0.250)
Pt (0.875, 0.750, 0.625)
N (0.000, 0.000, 0.000)
N (0.000, 0.000, 0.500)
N (0.000, 0.500, 0.000)
N (0.000, 0.500, 0.500)
N (0.125, 0.750, 0.875)
N (0.125, 0.875, 0.250)
N (0.250, 0.125, 0.875)
N (0.250, 0.625, 0.375)
N (0.375, 0.250, 0.625)
N (0.375, 0.625, 0.750)
N (0.500, 0.000, 0.000)
N (0.500, 0.000, 0.500)
N (0.500, 0.500, 0.000)
N (0.500, 0.500, 0.500)
N (0.625, 0.375, 0.250)
N (0.625, 0.750, 0.375)
N (0.750, 0.375, 0.625)
N (0.750, 0.875, 0.125)
N (0.875, 0.125, 0.750)
N (0.875, 0.250, 0.125)

Values from the calculation:
Formation energy without anion corrections, eV per atom: -1.147
ρ, Mg/m³: 10.29
Magnetization, Bohr magnetons per cell: 0.1
Final energy, eV per atom: -6.873
Fermi-level density of states, states/eV per atom: 0.567

=====

Record 4
The following is a DFT calculation (GGA-PBE) of crystalline Er6Pt2N at its relaxed geometry.

Cell: 6.453 6.936 11.250 Å, 90.00 123.87 90.00°
Fractional positions:
Er (0.134, 0.030, 0.243)
Er (0.134, 0.470, 0.743)
Er (0.236, 0.698, 0.055)
Er (0.236, 0.802, 0.555)
Er (0.359, 0.182, 0.055)
Er (0.359, 0.318, 0.555)
Er (0.641, 0.682, 0.445)
Er (0.641, 0.818, 0.945)
Er (0.764, 0.198, 0.445)
Er (0.764, 0.302, 0.945)
Er (0.866, 0.530, 0.257)
Er (0.866, 0.970, 0.757)
Pt (0.286, 0.087, 0.752)
Pt (0.286, 0.413, 0.252)
Pt (0.714, 0.587, 0.748)
Pt (0.714, 0.913, 0.248)
N (0.000, 0.000, 0.000)
N (0.000, 0.500, 0.500)

Values from the calculation:
Formation energy without anion corrections, eV per atom: -1.033
ρ, Mg/m³: 11.18
Magnetization, Bohr magnetons per cell: 0.0
Final energy, eV per atom: -6.342
Fermi-level density of states, states/eV per atom: 0.893

=====

Record 5
The following is a DFT calculation (GGA-PBE) of crystalline Er4Pt2N at its relaxed geometry.

Cell: 4.580 4.580 14.425 Å, 90.00 90.00 90.00°
Fractional positions:
Er (0.000, 0.000, 0.175)
Er (0.000, 0.000, 0.825)
Er (0.000, 0.500, 0.000)
Er (0.000, 0.500, 0.500)
Er (0.500, 0.000, 0.000)
Er (0.500, 0.000, 0.500)
Er (0.500, 0.500, 0.325)
Er (0.500, 0.500, 0.675)
Pt (0.000, 0.000, 0.367)
Pt (0.000, 0.000, 0.633)
Pt (0.500, 0.500, 0.133)
Pt (0.500, 0.500, 0.867)
N (0.000, 0.000, 0.000)
N (0.500, 0.500, 0.500)

Values from the calculation:
Formation energy without anion corrections, eV per atom: -1.162
ρ, Mg/m³: 11.78
Magnetization, Bohr magnetons per cell: 0.0
Final energy, eV per atom: -6.685
Fermi-level density of states, states/eV per atom: 0.848

=====

Record 6
The following is a DFT calculation (GGA-PBE) of crystalline Er3PtN at its relaxed geometry.

Cell: 4.651 4.651 4.651 Å, 90.00 90.00 90.00°
Fractional positions:
Er (0.000, 0.000, 0.500)
Er (0.000, 0.500, 0.000)
Er (0.500, 0.000, 0.000)
Pt (0.500, 0.500, 0.500)
N (0.000, 0.000, 0.000)

Values from the calculation:
Formation energy without anion corrections, eV per atom: -1.113
ρ, Mg/m³: 11.73
Magnetization, Bohr magnetons per cell: 0.0
Final energy, eV per atom: -6.724
Fermi-level density of states, states/eV per atom: 1.064

=====

Record 7
The following is a DFT calculation (GGA-PBE) of crystalline Er2ThPtN4 at its relaxed geometry.

Cell: 6.097 6.097 11.630 Å, 90.00 90.00 147.24°
Fractional positions:
Er (0.127, 0.873, 0.549)
Er (0.127, 0.873, 0.951)
Er (0.873, 0.127, 0.049)
Er (0.873, 0.127, 0.451)
Th (0.385, 0.615, 0.750)
Th (0.615, 0.385, 0.250)
Pt (0.353, 0.647, 0.250)
Pt (0.647, 0.353, 0.750)
N (0.040, 0.960, 0.750)
N (0.218, 0.782, 0.125)
N (0.218, 0.782, 0.375)
N (0.500, 0.500, 0.000)
N (0.500, 0.500, 0.500)
N (0.782, 0.218, 0.625)
N (0.782, 0.218, 0.875)
N (0.960, 0.040, 0.250)

Values from the calculation:
Formation energy without anion corrections, eV per atom: -1.068
ρ, Mg/m³: 11.61
Magnetization, Bohr magnetons per cell: 0.0
Final energy, eV per atom: -8.053
Fermi-level density of states, states/eV per atom: 0.580

=====

Record 8
The following is a DFT calculation (GGA-PBE) of crystalline ErPu2N3 at its relaxed geometry.

Cell: 6.932 4.902 10.394 Å, 90.00 90.00 90.00°
Fractional positions:
Er (0.124, 0.250, 0.082)
Er (0.376, 0.750, 0.582)
Er (0.624, 0.250, 0.418)
Er (0.876, 0.750, 0.918)
Pu (0.125, 0.250, 0.750)
Pu (0.126, 0.250, 0.416)
Pu (0.374, 0.750, 0.916)
Pu (0.375, 0.750, 0.250)
Pu (0.625, 0.250, 0.750)
Pu (0.626, 0.250, 0.084)
Pu (0.874, 0.750, 0.584)
Pu (0.875, 0.750, 0.250)
N (0.124, 0.750, 0.416)
N (0.124, 0.750, 0.750)
N (0.128, 0.750, 0.084)
N (0.372, 0.250, 0.584)
N (0.376, 0.250, 0.250)
N (0.376, 0.250, 0.916)
N (0.624, 0.750, 0.084)
N (0.624, 0.750, 0.750)
N (0.628, 0.750, 0.416)
N (0.872, 0.250, 0.916)
N (0.876, 0.250, 0.250)
N (0.876, 0.250, 0.584)

Values from the calculation:
Formation energy without anion corrections, eV per atom: -1.418
ρ, Mg/m³: 13.11
Magnetization, Bohr magnetons per cell: 38.4
Final energy, eV per atom: -11.119
Fermi-level density of states, states/eV per atom: 1.825

=====

Record 9
The following is a DFT calculation (GGA-PBE) of crystalline Er3PuN4 at its relaxed geometry.

Cell: 5.942 6.872 5.960 Å, 90.00 109.52 90.00°
Fractional positions:
Er (0.000, 0.123, 0.250)
Er (0.000, 0.373, 0.750)
Er (0.000, 0.627, 0.250)
Er (0.000, 0.877, 0.750)
Er (0.500, 0.123, 0.750)
Er (0.500, 0.877, 0.250)
Pu (0.500, 0.373, 0.250)
Pu (0.500, 0.627, 0.750)
N (0.250, 0.127, 0.003)
N (0.250, 0.873, 0.503)
N (0.256, 0.378, 0.499)
N (0.256, 0.622, 0.999)
N (0.744, 0.378, 0.001)
N (0.744, 0.622, 0.501)
N (0.750, 0.127, 0.497)
N (0.750, 0.873, 0.997)

Values from the calculation:
Formation energy without anion corrections, eV per atom: -1.637
ρ, Mg/m³: 11.61
Magnetization, Bohr magnetons per cell: 9.1
Final energy, eV per atom: -9.302
Fermi-level density of states, states/eV per atom: 0.878
E above lowest polymorph, kJ/mol of formula units: 0.0

=====

Record 10
The following is a DFT calculation (GGA-PBE) of crystalline Er2PuN4 at its relaxed geometry.

Cell: 11.701 3.457 5.762 Å, 90.00 118.18 90.00°
Fractional positions:
Er (0.195, 0.000, 0.198)
Er (0.305, 0.500, 0.802)
Er (0.695, 0.500, 0.198)
Er (0.805, 0.000, 0.802)
Pu (0.000, 0.500, 0.500)
Pu (0.500, 0.000, 0.500)
N (0.120, 0.500, 0.345)
N (0.132, 0.000, 0.762)
N (0.368, 0.500, 0.238)
N (0.380, 0.000, 0.655)
N (0.620, 0.000, 0.345)
N (0.632, 0.500, 0.762)
N (0.868, 0.000, 0.238)
N (0.880, 0.500, 0.655)

Values from the calculation:
Formation energy without anion corrections, eV per atom: -1.196
ρ, Mg/m³: 10.26
Magnetization, Bohr magnetons per cell: 4.0
Final energy, eV per atom: -9.304
Fermi-level density of states, states/eV per atom: 0.448

=====

Record 11
The following is a DFT calculation (GGA-PBE) of crystalline ErPuN2 at its relaxed geometry.

Cell: 3.411 3.411 11.560 Å, 90.00 90.00 120.00°
Fractional positions:
Er (0.000, 0.000, 0.000)
Er (0.000, 0.000, 0.500)
Pu (0.333, 0.667, 0.250)
Pu (0.667, 0.333, 0.750)
N (0.333, 0.667, 0.621)
N (0.333, 0.667, 0.879)
N (0.667, 0.333, 0.121)
N (0.667, 0.333, 0.379)

Values from the calculation:
Formation energy without anion corrections, eV per atom: -1.452
ρ, Mg/m³: 12.52
Magnetization, Bohr magnetons per cell: 9.9
Final energy, eV per atom: -10.339
Fermi-level density of states, states/eV per atom: 1.457

=====

Record 12
The following is a DFT calculation (GGA-PBE) of crystalline ErPu4N5 at its relaxed geometry.

Cell: 6.017 6.017 6.017 Å, 99.61 99.61 131.76°
Fractional positions:
Er (0.000, 0.000, 0.000)
Pu (0.201, 0.600, 0.801)
Pu (0.400, 0.201, 0.601)
Pu (0.600, 0.799, 0.399)
Pu (0.799, 0.400, 0.199)
N (0.100, 0.302, 0.401)
N (0.302, 0.900, 0.202)
N (0.500, 0.500, 0.000)
N (0.698, 0.100, 0.798)
N (0.900, 0.698, 0.599)

Values from the calculation:
Formation energy without anion corrections, eV per atom: -1.352
ρ, Mg/m³: 13.58
Magnetization, Bohr magnetons per cell: 19.1
Final energy, eV per atom: -11.703
Fermi-level density of states, states/eV per atom: 2.331